Density functional theory data (PBE) for crystalline LiY4Mg at its relaxed geometry.

Computed properties:
* SG: No. 216
* crystal system: cubic
* formation enthalpy at 0 K: 379 meV per atom
* DOS(E_F): 7.1 states/eV per cell

POSCAR file:
```
LiY4Mg
1.0
0.0000 4.5928 4.5928
4.5928 0.0000 4.5928
4.5928 4.5928 0.0000
Li Y Mg
1 4 1
direct
0.7500 0.7500 0.7500
0.8775 0.3742 0.3742
0.3742 0.3742 0.8775
0.3742 0.8775 0.3742
0.3742 0.3742 0.3742
0.0000 0.0000 0.0000
```

***

Density functional theory data (PBE) for crystalline LiY4Mg2 at its relaxed geometry.

Computed properties:
* SG: No. 166
* crystal system: trigonal
* formation enthalpy at 0 K: 168 meV per atom
* DOS(E_F): 11.3 states/eV per cell

POSCAR file:
```
LiY4Mg2
1.0
5.0738 0.0000 1.5852
2.2893 4.5280 1.5852
-0.0379 -0.0233 9.0341
Li Y Mg
1 4 2
direct
0.0000 0.0000 0.0000
0.8717 0.8717 0.3850
0.1283 0.1283 0.6150
0.6189 0.6189 0.1432
0.3811 0.3811 0.8568
0.7451 0.7451 0.7648
0.2549 0.2549 0.2352
```

***

Density functional theory data (PBE) for crystalline LiY5Mg4 at its relaxed geometry.

Computed properties:
* SG: No. 123
* crystal system: tetragonal
* formation enthalpy at 0 K: -62 meV per atom
* DOS(E_F): 13.6 states/eV per cell

POSCAR file:
```
LiY5Mg4
1.0
3.7879 0.0000 0.0000
0.0000 3.7879 0.0000
0.0000 0.0000 18.9394
Li Y Mg
1 5 4
direct
0.0000 0.0000 0.0000
0.5000 0.5000 0.0994
0.5000 0.5000 0.2985
0.5000 0.5000 0.5000
0.5000 0.5000 0.7015
0.5000 0.5000 0.9006
0.0000 0.0000 0.1991
0.0000 0.0000 0.3990
0.0000 0.0000 0.6010
0.0000 0.0000 0.8009
```

***

Density functional theory data (PBE) for crystalline LiY2Mg7 at its relaxed geometry.

Computed properties:
* SG: No. 225
* crystal system: cubic
* formation enthalpy at 0 K: 236 meV per atom
* DOS(E_F): 5.7 states/eV per cell

POSCAR file:
```
LiY2Mg7
1.0
-2.4439 6.0510 2.8195
0.2879 1.0165 7.0300
4.5428 4.7421 2.7226
Li Y Mg
1 2 7
direct
0.0000 0.0000 0.0000
0.2500 0.2500 0.2500
0.7500 0.7500 0.7500
0.5000 0.5000 0.5000
0.2381 0.7619 0.7619
0.2381 0.7619 0.2381
0.7619 0.2381 0.7619
0.7619 0.7619 0.2381
0.2381 0.2381 0.7619
0.7619 0.2381 0.2381
```

***

Density functional theory data (PBE) for crystalline LiY2Mg8 at its relaxed geometry.

Computed properties:
* SG: No. 12
* crystal system: monoclinic
* formation enthalpy at 0 K: -44 meV per atom
* DOS(E_F): 7.3 states/eV per cell

POSCAR file:
```
LiY2Mg8
1.0
4.7378 0.0000 -1.4387
-0.6279 6.3925 -2.0677
-0.0134 0.9686 8.4766
Li Y Mg
1 2 8
direct
0.5000 0.0000 0.0000
0.2193 0.6549 0.4386
0.7807 0.3451 0.5614
0.6607 0.8885 0.3215
0.4103 0.5676 0.8206
0.1479 0.1513 0.2958
0.9737 0.2657 0.9474
0.8521 0.8487 0.7042
0.5897 0.4324 0.1794
0.3393 0.1115 0.6785
0.0263 0.7343 0.0526
```

***

Density functional theory data (PBE) for crystalline Li3YMg12 at its relaxed geometry.

Computed properties:
* SG: No. 123
* crystal system: tetragonal
* formation enthalpy at 0 K: -33 meV per atom
* DOS(E_F): 7.4 states/eV per cell

POSCAR file:
```
Li3YMg12
1.0
4.5013 0.0000 0.0000
0.0000 4.5013 0.0000
0.0000 0.0000 18.1152
Li Y Mg
3 1 12
direct
0.0000 0.0000 0.2547
0.0000 0.0000 0.5000
0.0000 0.0000 0.7453
0.0000 0.0000 0.0000
0.5000 0.5000 0.0000
0.5000 0.5000 0.2588
0.5000 0.5000 0.5000
0.5000 0.5000 0.7412
0.5000 0.0000 0.1339
0.5000 0.0000 0.3786
0.5000 0.0000 0.6214
0.5000 0.0000 0.8661
0.0000 0.5000 0.1339
0.0000 0.5000 0.3786
0.0000 0.5000 0.6214
0.0000 0.5000 0.8661
```

***

Density functional theory data (PBE) for crystalline LiYMg14 at its relaxed geometry.

Computed properties:
* SG: No. 187
* crystal system: hexagonal
* relative energy among the computed polymorphs: 0.0 meV per atom
* formation enthalpy at 0 K: -17 meV per atom
* DOS(E_F): 7.2 states/eV per cell

POSCAR file:
```
LiYMg14
1.0
-5.2539 3.2013 2.0813
-0.6367 -4.8713 -4.2483
-0.9765 -6.6704 7.7949
Li Y Mg
1 1 14
direct
0.0000 0.0000 0.5000
0.0000 0.0000 0.0000
0.0113 0.5056 0.0000
0.9965 0.4982 0.5000
0.4944 0.9887 0.0000
0.5018 0.0035 0.5000
0.4944 0.5056 0.0000
0.5018 0.4982 0.5000
0.1659 0.8341 0.2555
0.1659 0.8341 0.7445
0.1659 0.3319 0.2555
0.1659 0.3319 0.7445
0.6681 0.8341 0.2555
0.6681 0.8341 0.7445
0.6667 0.3333 0.2412
0.6667 0.3333 0.7588
```

***

Density functional theory data (PBE) for crystalline LiYMg6 at its relaxed geometry.

Computed properties:
* SG: No. 123
* crystal system: tetragonal
* relative energy among the computed polymorphs: 0.0 meV per atom
* formation enthalpy at 0 K: -45 meV per atom
* DOS(E_F): 4.3 states/eV per cell

POSCAR file:
```
LiYMg6
1.0
4.7805 0.0000 0.0000
0.0000 4.7805 0.0000
0.0000 0.0000 8.2727
Li Y Mg
1 1 6
direct
0.0000 0.0000 0.5000
0.0000 0.0000 0.0000
0.5000 0.5000 0.0000
0.5000 0.5000 0.5000
0.5000 0.0000 0.2697
0.5000 0.0000 0.7303
0.0000 0.5000 0.2697
0.0000 0.5000 0.7303
```

***

Density functional theory data (PBE) for crystalline LiYMg2 at its relaxed geometry.

Computed properties:
* SG: No. 166
* crystal system: trigonal
* relative energy among the computed polymorphs: 91.2 meV per atom
* formation enthalpy at 0 K: 33 meV per atom
* DOS(E_F): 3.3 states/eV per cell

POSCAR file:
```
LiYMg2
1.0
-9.1308 -3.8169 -3.7697
-9.0614 -5.4197 -0.8188
-10.2886 -2.2987 -1.0063
Li Mg Y
1 2 1
direct
0.7500 0.7500 0.7500
0.0054 0.0054 0.0054
0.4946 0.4946 0.4946
0.2500 0.2500 0.2500
```

***

Density functional theory data (PBE) for crystalline LiYMg at its relaxed geometry.

Computed properties:
* SG: No. 156
* crystal system: trigonal
* relative energy among the computed polymorphs: 55.8 meV per atom
* formation enthalpy at 0 K: 17 meV per atom
* DOS(E_F): 2.5 states/eV per cell

POSCAR file:
```
LiYMg
1.0
-1.0124 2.9215 -4.1597
1.0408 -5.0456 -0.5680
-3.1551 -0.6833 0.2880
Y Mg Li
1 1 1
direct
0.6667 0.3333 0.6673
0.3333 0.6667 0.1731
0.0000 0.0000 0.1596
```

***

Density functional theory data (PBE) for crystalline LiY2Mg4 at its relaxed geometry.

Computed properties:
* SG: No. 12
* crystal system: monoclinic
* formation enthalpy at 0 K: -12 meV per atom
* DOS(E_F): 5.2 states/eV per cell

POSCAR file:
```
LiY2Mg4
1.0
4.9549 -0.0210 1.6023
2.2169 4.4314 1.6022
0.2876 0.1769 8.0601
Li Y Mg
1 2 4
direct
0.0000 0.0000 0.0000
0.7161 0.7161 0.8574
0.2839 0.2839 0.1426
0.8625 0.8625 0.4016
0.1375 0.1375 0.5984
0.5619 0.5619 0.2992
0.4381 0.4381 0.7008
```

***

Density functional theory data (PBE) for crystalline LiYMg2 at its relaxed geometry.

Computed properties:
* SG: No. 160
* crystal system: trigonal
* relative energy among the computed polymorphs: 96.7 meV per atom
* formation enthalpy at 0 K: 39 meV per atom
* DOS(E_F): 2.9 states/eV per cell

POSCAR file:
```
LiYMg2
1.0
3.3370 0.0000 0.0000
1.6685 2.8900 0.0000
1.6685 0.9633 10.5959
Li Y Mg
1 1 2
direct
0.6672 0.6672 0.9983
0.4996 0.4996 0.5011
0.0778 0.0778 0.7666
0.2553 0.2553 0.2340
```

***

Density functional theory data (PBE) for crystalline Li2Y3Mg7 at its relaxed geometry.

Computed properties:
* SG: No. 10
* crystal system: monoclinic
* relative energy among the computed polymorphs: 61.5 meV per atom
* formation enthalpy at 0 K: 23 meV per atom
* DOS(E_F): 11.5 states/eV per cell

POSCAR file:
```
Li2Y3Mg7
1.0
3.5824 0.0000 0.0000
0.0000 5.1418 -0.4772
0.0000 -0.9145 16.4050
Li Y Mg
2 3 7
direct
0.5000 0.6500 0.2881
0.5000 0.3500 0.7119
0.5000 0.5000 0.0000
0.0000 0.1828 0.3586
0.0000 0.8172 0.6414
0.5000 0.2698 0.5429
0.5000 0.7302 0.4571
0.0000 0.5754 0.1617
0.0000 0.0000 0.0000
0.0000 0.4246 0.8383
0.5000 0.9220 0.8342
0.5000 0.0780 0.1658
```

***

Density functional theory data (PBE) for crystalline LiYMg2 at its relaxed geometry.

Computed properties:
* SG: No. 10
* crystal system: monoclinic
* relative energy among the computed polymorphs: 66.4 meV per atom
* formation enthalpy at 0 K: 8 meV per atom
* DOS(E_F): 3.4 states/eV per cell

POSCAR file:
```
LiYMg2
1.0
4.8587 0.0000 0.0000
0.0000 3.2203 0.0269
0.0000 1.6520 6.3277
Y Mg Li
1 2 1
direct
0.5000 0.2500 0.2500
0.0000 0.9204 0.9786
0.0000 0.5796 0.5214
0.5000 0.7500 0.7500
```

***

Density functional theory data (PBE) for crystalline Li2YMg3 at its relaxed geometry.

Computed properties:
* SG: No. 123
* crystal system: tetragonal
* relative energy among the computed polymorphs: 0.0 meV per atom
* formation enthalpy at 0 K: -60 meV per atom
* DOS(E_F): 4.2 states/eV per cell

POSCAR file:
```
Li2YMg3
1.0
-2.6010 2.2391 -0.7096
-2.3151 -2.6226 0.2103
-1.2659 1.9942 10.9326
Li Y Mg
2 1 3
direct
0.5000 0.5000 0.8474
0.5000 0.5000 0.1526
0.5000 0.5000 0.5000
0.0000 0.0000 0.0000
0.0000 0.0000 0.7022
0.0000 0.0000 0.2978
```

***

Density functional theory data (PBE) for crystalline Li4YMg at its relaxed geometry.

Computed properties:
* SG: No. 216
* crystal system: cubic
* formation enthalpy at 0 K: 13 meV per atom
* DOS(E_F): 2.2 states/eV per cell

POSCAR file:
```
Li4YMg
1.0
5.6580 0.0000 0.0000
2.8290 4.8999 0.0000
2.8290 1.6333 4.6197
Li Mg Y
4 1 1
direct
0.1286 0.6238 0.6238
0.6238 0.6238 0.6238
0.6238 0.1286 0.6238
0.6238 0.6238 0.1286
0.2500 0.2500 0.2500
0.0000 0.0000 0.0000
```

***

Density functional theory data (PBE) for crystalline LiYMg2 at its relaxed geometry.

Computed properties:
* SG: No. 123
* crystal system: tetragonal
* relative energy among the computed polymorphs: 80.0 meV per atom
* formation enthalpy at 0 K: 22 meV per atom
* DOS(E_F): 4.0 states/eV per cell

POSCAR file:
```
LiYMg2
1.0
4.6386 0.0000 0.0000
0.0000 4.6383 0.0000
0.0000 0.0000 4.6780
Li Mg Y
1 2 1
direct
0.0000 0.5000 0.5000
0.0000 0.0000 0.0000
0.5000 0.5000 0.0000
0.5000 0.0000 0.5000
```

***

Density functional theory data (PBE) for crystalline LiYMg2 at its relaxed geometry.

Computed properties:
* SG: No. 216
* crystal system: cubic
* relative energy among the computed polymorphs: 24.1 meV per atom
* formation enthalpy at 0 K: -34 meV per atom
* DOS(E_F): 4.8 states/eV per cell

POSCAR file:
```
LiYMg2
1.0
5.1175 0.0000 0.0000
2.5587 4.4319 0.0000
2.5587 1.4773 4.1784
Y Mg Li
1 2 1
direct
0.7500 0.7500 0.7500
0.0000 0.0000 0.0000
0.2500 0.2500 0.2500
0.5000 0.5000 0.5000
```

***

Density functional theory data (PBE) for crystalline LiYMg14 at its relaxed geometry.

Computed properties:
* SG: No. 123
* crystal system: tetragonal
* relative energy among the computed polymorphs: 1.2 meV per atom
* formation enthalpy at 0 K: -16 meV per atom
* DOS(E_F): 5.4 states/eV per cell

POSCAR file:
```
LiYMg14
1.0
6.8362 -0.0146 0.0000
0.0145 6.8362 0.0000
0.0000 0.0000 7.9965
Li Y Mg
1 1 14
direct
0.3750 0.3750 0.5000
0.8750 0.8750 0.5000
0.8750 0.8750 0.0000
0.3750 0.3750 0.0000
0.8750 0.3750 0.5000
0.8750 0.3750 0.0000
0.3750 0.8750 0.5000
0.3750 0.8750 0.0000
0.6197 0.1303 0.2480
0.6197 0.1303 0.7520
0.1303 0.6197 0.2480
0.1303 0.6197 0.7520
0.6198 0.6198 0.2479
0.6198 0.6198 0.7521
0.1302 0.1302 0.2479
0.1302 0.1302 0.7521
```

***

Density functional theory data (PBE) for crystalline LiY3Mg4 at its relaxed geometry.

Computed properties:
* SG: No. 123
* crystal system: tetragonal
* formation enthalpy at 0 K: -84 meV per atom
* DOS(E_F): 8.8 states/eV per cell

POSCAR file:
```
LiY3Mg4
1.0
3.7087 0.0000 0.0000
0.0000 3.7087 0.0000
0.0000 0.0000 15.1674
Y Mg Li
3 4 1
direct
0.5000 0.5000 0.2455
0.5000 0.5000 0.5000
0.5000 0.5000 0.7545
0.0000 0.0000 0.8917
0.0000 0.0000 0.1083
0.0000 0.0000 0.3723
0.0000 0.0000 0.6277
0.5000 0.5000 0.0000
```

***

Density functional theory data (PBE) for crystalline LiYMg2 at its relaxed geometry.

Computed properties:
* SG: No. 123
* crystal system: tetragonal
* relative energy among the computed polymorphs: 0.0 meV per atom
* formation enthalpy at 0 K: -58 meV per atom
* DOS(E_F): 4.0 states/eV per cell

POSCAR file:
```
LiYMg2
1.0
-0.7643 -3.1457 -1.4440
3.2095 -0.0904 -1.5019
2.8248 -3.5553 6.2500
Y Mg Li
1 2 1
direct
0.5000 0.5000 0.2500
0.0000 0.0000 0.9652
0.0000 0.0000 0.5348
0.5000 0.5000 0.7500
```

***

Density functional theory data (PBE) for crystalline LiYMg4 at its relaxed geometry.

Computed properties:
* SG: No. 123
* crystal system: tetragonal
* relative energy among the computed polymorphs: 0.0 meV per atom
* formation enthalpy at 0 K: -66 meV per atom
* DOS(E_F): 2.8 states/eV per cell

POSCAR file:
```
LiYMg4
1.0
3.4432 0.0000 0.0001
0.0000 3.4432 0.0001
-0.0005 -0.0004 11.8566
Li Y Mg
1 1 4
direct
0.5000 0.5000 0.5000
0.0000 0.0000 0.0000
0.5000 0.5000 0.8058
0.5000 0.5000 0.1942
0.0000 0.0000 0.6419
0.0000 0.0000 0.3581
```

***

Density functional theory data (PBE) for crystalline Li2YMg6 at its relaxed geometry.

Computed properties:
* SG: No. 12
* crystal system: monoclinic
* formation enthalpy at 0 K: -1 meV per atom
* DOS(E_F): 5.1 states/eV per cell

POSCAR file:
```
Li2YMg6
1.0
-2.6629 1.1872 -1.1739
-4.5087 -7.0491 3.0984
7.5452 4.3234 7.9673
Li Y Mg
2 1 6
direct
0.7383 0.6513 0.3026
0.2616 0.3487 0.6974
0.0000 0.0000 0.0000
0.6437 0.6539 0.6554
0.3563 0.3461 0.3446
0.3563 0.9984 0.3446
0.5000 0.3335 0.0000
0.5000 0.6665 0.0000
0.6437 0.0016 0.6554
```

***

Density functional theory data (PBE) for crystalline LiYMg14 at its relaxed geometry.

Computed properties:
* SG: No. 38
* crystal system: orthorhombic
* relative energy among the computed polymorphs: 14.5 meV per atom
* formation enthalpy at 0 K: -3 meV per atom
* DOS(E_F): 7.7 states/eV per cell

POSCAR file:
```
LiYMg14
1.0
3.1946 -5.6859 0.0000
3.1946 5.6859 0.0000
0.0000 0.0000 10.3528
Li Y Mg
1 1 14
direct
0.3383 0.6617 0.5000
0.8242 0.1758 0.5000
0.8328 0.1672 0.0000
0.3314 0.6686 0.0000
0.3290 0.1847 0.5000
0.3293 0.1615 0.0000
0.8153 0.6710 0.5000
0.8385 0.6707 0.0000
0.1694 0.3301 0.2474
0.1694 0.3301 0.7526
0.6699 0.8306 0.2474
0.6699 0.8306 0.7526
0.6670 0.3330 0.2447
0.6670 0.3330 0.7553
0.1742 0.8258 0.2654
0.1742 0.8258 0.7346
```

***

no.,E (eV for the cell shown)
1,-27.1
2,-29.8
3,-41.2
4,-23.6
5,-28.1
6,-31.9
7,-31.0
8,-18.3
9,-11.4
10,-9.9
11,-21.3
12,-11.4
13,-34.1
14,-11.5
15,-15.4
16,-15.6
17,-11.5
18,-11.7
19,-31.0
20,-28.4
21,-11.8
22,-15.2
23,-19.9
24,-30.7